(1)
An optimized crystal structure of MgAlTl2, computed with PBE.

Calculated values
- DOS at the Fermi energy: 1.75 states/eV per cell
- Formation energy: 165 meV per atom
- Space group: Pmmm
- M_tot: 0.00 μB/atom
- Energy above the most stable polymorph in this dataset: 0.29 eV/f.u.
- Density: 7.56 Mg/m³

Geometry as POSCAR:
```
MgAlTl2
1.0
3.6616 0.0000 0.0000
0.0000 5.6923 0.0000
0.0000 0.0000 4.8486
Al Mg Tl
1 1 2
direct
0.5000 0.0000 0.5000 Al
0.0000 0.5000 0.5000 Mg
0.0000 0.0000 0.0000 Tl
0.5000 0.5000 0.0000 Tl
```



(2)
An optimized crystal structure of ZnMoCl2, computed with PBE.

Calculated values
- DOS at the Fermi energy: 1.68 states/eV per cell
- Space group: P2/m
- M_tot: 0.00 μB/atom
- Energy above the most stable polymorph in this dataset: 1.87 eV/f.u.
- Formation energy (no corrections): 0.1436 eV per atom
- Density: 5.44 Mg/m³

Geometry as POSCAR:
```
ZnMoCl2
1.0
4.2399 0.0000 0.0000
0.0000 2.9621 -0.1057
0.0000 -1.0427 5.6802
Mo Zn Cl
1 1 2
direct
0.5000 0.2500 0.2500 Mo
0.5000 0.7500 0.7500 Zn
0.0000 0.1738 0.0076 Cl
0.0000 0.3262 0.4924 Cl
```



(3)
An optimized crystal structure of Ac3PmPt3, computed with PBE.

Calculated values
- DOS at the Fermi energy: 16.44 states/eV per cell
- Formation energy: -1017 meV per atom
- Space group: Pnma
- M_tot: 0.00 μB/atom
- Density: 10.87 Mg/m³

Geometry as POSCAR:
```
Ac3PmPt3
1.0
4.3417 0.0000 0.0000
0.0000 12.8616 0.0000
0.0000 0.0000 15.4473
Ac Pm Pt
12 4 12
direct
0.7500 0.7383 0.7995 Ac
0.2500 0.7617 0.2995 Ac
0.2500 0.2617 0.2005 Ac
0.7500 0.2383 0.7005 Ac
0.7500 0.1557 0.9844 Ac
0.2500 0.3443 0.4844 Ac
0.2500 0.8443 0.0156 Ac
0.7500 0.6557 0.5156 Ac
0.7500 0.9361 0.5960 Ac
0.2500 0.5639 0.0960 Ac
0.2500 0.0639 0.4040 Ac
0.7500 0.4361 0.9040 Ac
0.7500 0.9752 0.2026 Pm
0.2500 0.5248 0.7026 Pm
0.2500 0.0248 0.7974 Pm
0.7500 0.4752 0.2974 Pm
0.7500 0.9409 0.8961 Pt
0.2500 0.5591 0.3961 Pt
0.2500 0.0591 0.1039 Pt
0.7500 0.4409 0.6039 Pt
0.7500 0.8954 0.3943 Pt
0.2500 0.6046 0.8943 Pt
0.2500 0.1046 0.6057 Pt
0.7500 0.3954 0.1057 Pt
0.7500 0.7509 0.1502 Pt
0.2500 0.7491 0.6502 Pt
0.2500 0.2491 0.8498 Pt
0.7500 0.2509 0.3498 Pt
```



(4)
An optimized crystal structure of Rb2YPu3O12, computed with PBE.

Calculated values
- DOS at the Fermi energy: 8.53 states/eV per cell
- Space group: R-3m
- M_tot: 0.28 μB/atom
- Formation energy (no corrections): -2.5466 eV per atom
- Density: 5.75 Mg/m³

Geometry as POSCAR:
```
Rb2YPu3O12
1.0
7.7276 -0.1138 -0.0808
3.7173 6.7757 -0.0808
3.7173 2.1638 6.4214
Rb Y Pu O
2 1 3 12
direct
0.6301 0.6301 0.6301 Rb
0.3699 0.3699 0.3699 Rb
0.0000 0.0000 0.0000 Y
0.5000 0.0000 0.0000 Pu
0.0000 0.5000 0.0000 Pu
0.0000 0.0000 0.5000 Pu
0.3098 0.3098 0.9323 O
0.9255 0.9255 0.3428 O
0.3428 0.9255 0.9255 O
0.9323 0.3098 0.3098 O
0.9255 0.3428 0.9255 O
0.3098 0.9323 0.3098 O
0.6902 0.6902 0.0677 O
0.0745 0.0745 0.6572 O
0.6572 0.0745 0.0745 O
0.0677 0.6902 0.6902 O
0.0745 0.6572 0.0745 O
0.6902 0.0677 0.6902 O
```



(5)
An optimized crystal structure of ScZnMo3, computed with PBE.

Calculated values
- DOS at the Fermi energy: 5.90 states/eV per cell
- Formation energy: 1929 meV per atom
- Space group: Pm-3m
- M_tot: 0.00 μB/atom
- Energy above the most stable polymorph in this dataset: 2.93 eV/f.u.
- Density: 6.72 Mg/m³

Geometry as POSCAR:
```
ScZnMo3
1.0
-2.4401 2.7184 -2.8238
-2.2961 -3.6872 -1.5654
-3.1767 0.5770 3.3005
Sc Mo Zn
1 3 1
direct
0.0000 0.0000 0.0000 Sc
0.0000 0.5000 0.0000 Mo
0.0000 0.0000 0.5000 Mo
0.5000 0.0000 0.0000 Mo
0.5000 0.5000 0.5000 Zn
```



(6)
An optimized crystal structure of Na2TaCl, computed with PBE.

Calculated values
- DOS at the Fermi energy: 2.28 states/eV per cell
- Space group: Fm-3m
- M_tot: 1.00 μB/atom
- Energy above the most stable polymorph in this dataset: 1.00 eV/f.u.
- Formation energy (no corrections): 0.9267 eV per atom
- Density: 3.88 Mg/m³

Geometry as POSCAR:
```
Na2TaCl
1.0
0.0000 3.8298 3.8298
3.8298 0.0000 3.8298
3.8298 3.8298 0.0000
Na Cl Ta
2 1 1
direct
0.2500 0.2500 0.2500 Na
0.7500 0.7500 0.7500 Na
0.0000 0.0000 0.0000 Cl
0.5000 0.5000 0.5000 Ta
```



(7)
An optimized crystal structure of DyY2Ni, computed with PBE.

Calculated values
- DOS at the Fermi energy: 4.94 states/eV per cell
- Formation energy: -59 meV per atom
- Space group: R-3m
- M_tot: 0.00 μB/atom
- Energy above the most stable polymorph in this dataset: 0.73 eV/f.u.
- Density: 6.01 Mg/m³

Geometry as POSCAR:
```
DyY2Ni
1.0
-3.3127 -0.3379 -1.5311
-0.3159 -1.2740 -3.4219
-1.8568 -9.3817 1.7016
Y Ni Dy
2 1 1
direct
0.7278 0.7278 0.8167 Y
0.2722 0.2722 0.1833 Y
0.0000 0.0000 0.0000 Ni
0.5000 0.5000 0.5000 Dy
```



(8)
An optimized crystal structure of CsCaY2Al, computed with PBE.

Calculated values
- DOS at the Fermi energy: 5.66 states/eV per cell
- Formation energy: 918 meV per atom
- Space group: P4/mmm
- M_tot: 0.00 μB/atom
- Density: 3.00 Mg/m³

Geometry as POSCAR:
```
CsCaY2Al
1.0
6.0119 0.0000 0.0000
0.0000 5.7923 0.0000
0.0000 0.0000 6.0119
Cs Y Ca Al
1 2 1 1
direct
0.5000 0.5000 0.5000 Cs
0.0000 0.0000 0.5000 Y
0.5000 0.0000 0.0000 Y
0.0000 0.0000 0.0000 Ca
0.0000 0.5000 0.0000 Al
```